Entry 1:
VASP calculation (PBE-GGA) on crystalline ZnHgBr at its relaxed geometry.

Properties
Polymorph energy (0 for the lowest one) = 0.000 eV/atom
Total energy = -1.40 eV/atom
E_form (uncorrected) = -313 meV per atom
Total magnetization = 0.000 μB per atom

Unit cell a=3.7848 b=6.8284 c=7.7760 alpha=78.10 beta=86.15 gamma=84.63
Last column: nearest neighbours and their distance in Å.
Space group P1 (No. 1)
One atom of each set of equivalent atoms:
Zn (0.0000, 0.0000, 0.0000) (multiplicity 1)  3 Br 2.48-2.72, 1 Hg 2.57
Zn (0.4834, 0.6966, 0.4696) (multiplicity 1)  2 Br 2.55-2.66, 2 Hg 2.58-2.84
Hg (0.2304, 0.8655, 0.7241) (multiplicity 1)  2 Zn 2.57-2.58
Hg (0.5890, 0.2834, 0.6304) (multiplicity 1)  1 Zn 2.84
Br (0.0008, 0.6561, 0.2490) (multiplicity 1)  3 Zn 2.55-2.72
Br (0.4664, 0.1739, 0.1223) (multiplicity 1)  2 Zn 2.48-2.55

Entry 2:
VASP calculation (PBE-GGA) on crystalline ZnHgBr at its relaxed geometry.

Properties
Polymorph energy (0 for the lowest one) = 0.069 eV/atom
Total energy = -1.33 eV/atom
E_form (uncorrected) = -244 meV per atom
Total magnetization = 0.000 μB per atom

Unit cell a=3.7134 b=4.3073 c=5.8570 alpha=92.64 beta=90.33 gamma=114.80
Last column: nearest neighbours and their distance in Å.
Space group P1 (No. 1)
One atom of each set of equivalent atoms:
Zn (0.0000, 0.0000, 0.0000) (multiplicity 1)  2 Br 2.59, 3 Hg 2.67-2.80
Hg (0.3162, 0.6097, 0.2273) (multiplicity 1)  3 Zn 2.67-2.80
Br (0.5303, 0.0679, 0.6969) (multiplicity 1)  2 Zn 2.59

Entry 3:
VASP calculation (PBE-GGA) on crystalline Zn2HgBr at its relaxed geometry.

Properties
Polymorph energy (0 for the lowest one) = 0.187 eV/atom
Total energy = -1.06 eV/atom
E_form (uncorrected) = 71 meV per atom
Total magnetization = 0.000 μB per atom

Unit cell a=3.4025 b=3.4025 c=7.6245 alpha=90.00 beta=90.00 gamma=90.00
Last column: nearest neighbours and their distance in Å.
Space group P4/mmm (No. 123)
One atom of each set of equivalent atoms:
Zn (0.0000, 0.0000, 0.2445) (multiplicity 2)  4 Hg 3.04, 4 Br 3.10, 4 Zn 3.40
Hg (0.5000, 0.5000, 0.0000) (multiplicity 1)  8 Zn 3.04, 4 Hg 3.40
Br (0.5000, 0.5000, 0.5000) (multiplicity 1)  8 Zn 3.10, 4 Br 3.40

Entry 4:
VASP calculation (PBE-GGA) on crystalline Zn2HgBr at its relaxed geometry.

Properties
Polymorph energy (0 for the lowest one) = 0.059 eV/atom
Total energy = -1.19 eV/atom
E_form (uncorrected) = -57 meV per atom
Total magnetization = 0.000 μB per atom

Unit cell a=3.6649 b=6.3706 c=8.7130 alpha=90.00 beta=90.00 gamma=90.00
Last column: nearest neighbours and their distance in Å.
Space group Cmm2 (No. 35)
One atom of each set of equivalent atoms:
Zn (0.0000, 0.0000, 0.0000) (multiplicity 2)  2 Zn 2.58, 2 Hg 2.80
Zn (0.0000, 0.5000, 0.2078) (multiplicity 2)  2 Br 2.55, 2 Zn 2.58
Hg (0.0000, 0.5000, 0.7563) (multiplicity 2)  2 Zn 2.80
Br (0.0000, 0.0000, 0.4111) (multiplicity 2)  2 Zn 2.55

Entry 5:
VASP calculation (PBE-GGA) on crystalline Zn2HgBr2 at its relaxed geometry.

Properties
Polymorph energy (0 for the lowest one) = 0.377 eV/atom
Total energy = -1.15 eV/atom
E_form (uncorrected) = 87 meV per atom
Total magnetization = 0.000 μB per atom

Unit cell a=8.4934 b=8.4934 c=3.5538 alpha=90.00 beta=90.00 gamma=90.00
Last column: nearest neighbours and their distance in Å.
Space group P4/mbm (No. 127)
One atom of each set of equivalent atoms:
Zn (0.1525, 0.3475, 0.0000) (multiplicity 4)  6 Br 3.03-3.08
Hg (0.0000, 0.0000, 0.5000) (multiplicity 2)  4 Br 3.26, 2 Hg 3.55
Br (0.1436, 0.6436, 0.5000) (multiplicity 4)  6 Zn 3.03-3.08, 2 Hg 3.26

Entry 6:
VASP calculation (PBE-GGA) on crystalline ZnHgBr at its relaxed geometry.

Properties
Polymorph energy (0 for the lowest one) = 0.039 eV/atom
Total energy = -1.36 eV/atom
E_form (uncorrected) = -274 meV per atom
Total magnetization = 0.000 μB per atom

Unit cell a=3.8222 b=6.7667 c=6.9152 alpha=105.97 beta=91.72 gamma=90.05
Last column: nearest neighbours and their distance in Å.
Space group P1 (No. 1)
One atom of each set of equivalent atoms:
Zn (0.0000, 0.0000, 0.0000) (multiplicity 1)  3 Br 2.39-2.60
Zn (0.4884, 0.4527, 0.6625) (multiplicity 1)  3 Hg 2.63-2.76, 1 Br 2.67
Hg (0.0172, 0.3636, 0.9051) (multiplicity 1)  3 Zn 2.68-2.76
Hg (0.6300, 0.3088, 0.2798) (multiplicity 1)  2 Zn 2.63-2.84
Br (0.0351, 0.7936, 0.2299) (multiplicity 1)  1 Zn 2.39
Br (0.4857, 0.8627, 0.7431) (multiplicity 1)  3 Zn 2.60-2.67

> Look up the total magnetization of the first one.

0.000 μB per atom

> Which formula does entry 3 have?

Zn2HgBr

> The highest E_form (uncorrected) belongs to which entry?

Zn2HgBr2

> Look up the E_form (uncorrected) of the sixth one.

-274 meV per atom